(1)
An optimized crystal structure of Pr4MgCd, computed with PBE.

Summary:
As for the crystal system: monoclinic. Its space-group type is C2/m, No. 12. As for the energy above the most stable polymorph in this dataset: 11 meV/atom. For the calculated density, the calculation gives 6.0 g/cm3. The calculation puts the total energy at -22.39 eV for the cell shown.

Lattice parameters (Å, degrees): 3.8019 7.2047 8.9765 118.04 77.77 74.70
Element x y z (fractional)
Pr 0.8300 0.5142 0.8258
Pr 0.3246 0.0212 0.3296
Pr 0.1700 0.4858 0.1742
Pr 0.6754 0.9788 0.6704
Mg 0.0000 0.0000 0.0000
Cd 0.5000 0.5000 0.5000

(2)
An optimized crystal structure of Tc2NiCl, computed with PBE.

Summary:
As for the crystal system: tetragonal. Its space-group type is I-4m2, No. 119. As for the energy above the most stable polymorph in this dataset: 588 meV/atom. The calculation puts the formation energy from raw total energies at 0.8321 eV/atom. For the calculated density, the calculation gives 8.5 g/cm3. The calculation puts the total energy at -25.03 eV for the cell shown.

Lattice parameters (Å, degrees): 4.4917 4.4917 4.4917 126.57 126.57 78.96
Element x y z (fractional)
Cl 0.5000 0.5000 0.0000
Ni 0.7500 0.2500 0.5000
Tc 0.0000 0.0000 0.0000
Tc 0.2500 0.7500 0.5000